Entry 1:
DFT (PBE) results for BaMnCl after structural relaxation.

```
3
Lattice="-1.5543 4.9231 1.3865 -4.6110 1.9686 -1.8542 -4.1465 0.6614 3.3082" Properties=species:S:1:pos:R:3 pbc="T T T"
Ba 0.0000 0.0000 0.0000
Cl -5.1559 3.7765 1.4203
Mn -7.7338 5.6648 2.1304
```

Its magnetic moment is 4.032 μB/f.u. The uncorrected formation energy comes out at 0.09 eV/atom.

***

Entry 2:
DFT (PBE) results for MgCd3Hg3 after structural relaxation.

```
14
Lattice="-0.0320 -2.8695 1.2220 -4.9215 -3.9927 -9.5048 11.3883 0.2420 0.8668" Properties=species:S:1:pos:R:3 pbc="T T T"
Mg 5.9278 -3.3218 -1.6739
Mg 0.5070 -3.2985 -5.7421
Cd -3.3056 -5.3439 -6.6644
Cd 0.9607 -3.1262 -1.3448
Cd 3.8183 -5.7298 -7.3837
Cd 9.7404 -1.2764 -0.7516
Cd 5.4741 -3.4941 -6.0712
Cd 2.6165 -0.8905 -0.0322
Hg -0.2466 -5.6375 -7.2737
Hg -1.1542 -4.0120 -3.4804
Hg 2.8735 -4.5504 -4.6392
Hg 6.6814 -0.9828 -0.1423
Hg 7.5890 -2.6083 -3.9356
Hg 3.5613 -2.0699 -2.7768
```

The calculation puts the energy relative to the elements at 0.0120 eV per atom. Its magnetic moment is 0.000 μB/f.u.

***

Entry 3:
DFT (PBE) results for Cs3Sr2PbBr9 after structural relaxation.

```
15
Lattice="8.5075 0.0000 0.0000 -4.2538 7.3677 0.0000 0.0000 0.0000 10.4355" Properties=species:S:1:pos:R:3 pbc="T T T"
Cs 0.0000 4.9118 6.8729
Cs 0.0000 0.0000 0.0000
Cs 4.2538 2.4559 3.5626
Sr 0.0000 4.9118 1.7240
Sr 4.2538 2.4559 8.7115
Pb 0.0000 0.0000 5.2177
Br 6.3764 1.2304 6.9445
Br 4.2538 4.9069 6.9445
Br 2.1311 1.2304 6.9445
Br 2.1226 6.1373 3.4910
Br 0.0000 2.4608 3.4910
Br -2.1226 6.1373 3.4910
Br 4.2538 0.0000 0.0000
Br -2.1269 3.6839 0.0000
Br 2.1269 3.6839 0.0000
```

Its magnetic moment is 0.000 μB/f.u. The uncorrected formation energy comes out at -1.76 eV/atom.